No. 1
Material: Na2UVO8
Method: DFT, PBE+U
State: relaxed

Results
Total moment   3.00 μB/cell
E   -6.493 eV/atom

```
data_Na2UVO8
_space_group_name_H-M_alt 'P -3 m 1'
_space_group_IT_number 164
_space_group_name_Hall '-P 3 2"'
_cell_length_a 5.9101
_cell_length_b 5.9101
_cell_length_c 5.6431
_cell_angle_alpha 90.00
_cell_angle_beta 90.00
_cell_angle_gamma 120.00
loop_
_atom_site_label
_atom_site_fract_x
_atom_site_fract_y
_atom_site_fract_z
_atom_site_occupancy
Na1 0.3333 0.6667 0.0080 1
U1 0.0000 0.0000 0.5000 1
V1 0.0000 0.0000 0.0000 1
O1 0.1404 0.2808 0.2199 1
O2 0.3333 0.6667 0.5853 1
```



No. 2
Material: NaUWO6
Method: DFT, PBE+U
State: relaxed

Results
Total moment   3.96 μB/cell
E   -7.918 eV/atom

```
data_NaUWO6
_space_group_name_H-M_alt 'I m m a'
_space_group_IT_number 74
_space_group_name_Hall '-I 2b 2'
_cell_length_a 7.4804
_cell_length_b 7.7704
_cell_length_c 11.0286
_cell_angle_alpha 90.00
_cell_angle_beta 90.00
_cell_angle_gamma 90.00
loop_
_atom_site_label
_atom_site_fract_x
_atom_site_fract_y
_atom_site_fract_z
_atom_site_occupancy
Na1 0.0000 0.2500 0.2054 1
U1 0.0000 0.0000 0.5000 1
W1 0.2500 0.2500 0.7500 1
O1 0.0000 0.2500 0.4168 1
O2 0.0000 0.2500 0.7990 1
O3 0.1986 0.0707 0.6320 1
```



No. 3
Material: Na2UWO6
Method: DFT, PBE+U
State: relaxed

Results
Total moment   2.00 μB/cell
E   -7.479 eV/atom

```
data_Na2UWO6
_space_group_name_H-M_alt 'P 4 m m'
_space_group_IT_number 99
_cell_length_a 5.8419
_cell_length_b 5.8419
_cell_length_c 4.2311
_cell_angle_alpha 90.00
_cell_angle_beta 90.00
_cell_angle_gamma 90.00
loop_
_space_group_symop_operation_xyz
'x,y,z'
'-y,x,z'
'-x,-y,z'
'y,-x,z'
'-x,y,z'
'y,x,z'
'x,-y,z'
'-y,-x,z'
loop_
_atom_site_label
_atom_site_fract_x
_atom_site_fract_y
_atom_site_fract_z
_atom_site_occupancy
Na1 0.0000 0.5000 0.0000 1
U1 0.0000 0.0000 0.6137 1
W1 0.5000 0.5000 0.5605 1
O1 0.0000 0.0000 0.1165 1
O2 0.2603 0.2603 0.6438 1
O3 0.5000 0.5000 0.1269 1
```